BaAcCdSn | GGA-PBE | relaxed

abc: 5.881 5.881 5.881
angles: 60.00 60.00 60.00
Positions (direct):
1 Ba 0.000 0.000 0.000
2 Ac 0.500 0.500 0.500
3 Cd 0.250 0.250 0.250
4 Sn 0.750 0.750 0.750

## Properties
E_form = -0.454 eV per atom
Total DFT energy (no corrections) = -12.766 eV per cell
Space-group type = F-43m
Size of the total moment = 0.000 μB per atom

=====

Ba2AcCdTe5 | GGA-PBE | relaxed

abc: 10.696 10.696 14.167
angles: 90.00 90.00 154.32
Positions (direct):
1 Ba 0.114 0.886 0.500
2 Ba 0.123 0.877 0.136
3 Ba 0.877 0.123 0.636
4 Ba 0.886 0.114 0.000
5 Ac 0.207 0.793 0.830
6 Ac 0.793 0.207 0.330
7 Cd 0.443 0.557 0.254
8 Cd 0.557 0.443 0.754
9 Te 0.045 0.955 0.866
10 Te 0.294 0.706 0.492
11 Te 0.312 0.688 0.167
12 Te 0.362 0.638 0.821
13 Te 0.495 0.505 0.577
14 Te 0.505 0.495 0.077
15 Te 0.638 0.362 0.321
16 Te 0.688 0.312 0.667
17 Te 0.706 0.294 0.992
18 Te 0.955 0.045 0.366

## Properties
Total DFT energy (no corrections) = -71.979 eV per cell
Space-group type = Cmc2_1
Size of the total moment = 0.000 μB per atom

=====

BaAcTl2Cd2 | GGA-PBE | relaxed

abc: 5.229 5.229 8.448
angles: 90.00 90.00 120.00
Positions (direct):
1 Ba 0.000 0.000 0.000
2 Ac 0.000 0.000 0.500
3 Tl 0.333 0.667 0.286
4 Tl 0.667 0.333 0.714
5 Cd 0.333 0.667 0.713
6 Cd 0.667 0.333 0.287

## Properties
E_form = -0.360 eV per atom
Total DFT energy (no corrections) = -14.757 eV per cell
Space-group type = P-3m1
Size of the total moment = 0.000 μB per atom